Entry from Alexandria via LeMat-Bulk: a relaxed YSc2Pd crystal (PBE).

Cell lengths 6.125, 6.647, 9.387 Å; angles 90.00, 90.00, 90.00 degrees
Fractional positions:
1 Sc 0.177 0.677 0.446
2 Sc 0.823 0.323 0.946
3 Y 0.381 0.491 0.750
4 Pd 0.422 0.895 0.250
5 Sc 0.677 0.823 0.946
6 Pd 0.922 0.605 0.750
7 Sc 0.177 0.677 0.054
8 Sc 0.323 0.177 0.054
9 Sc 0.677 0.823 0.554
10 Pd 0.578 0.105 0.750
11 Y 0.119 0.991 0.750
12 Y 0.881 0.009 0.250
13 Sc 0.323 0.177 0.446
14 Pd 0.078 0.395 0.250
15 Y 0.619 0.509 0.250
16 Sc 0.823 0.323 0.554

Properties
Calculated formation energy   -0.453 eV per atom
Distance to the lowest polymorph of the same formula   0 meV/atom
Space-group type   Pnma